(1)
Material: CaCrPb3
Method: DFT, PBE
State: relaxed

Output
* formation energy: 1.532 eV per atom
* space-group type: Pm-3m, No. 221
* total magnetic moment: 1.1 μB/cell

Cell: 5.7077 5.7077 5.7077 Å, 90.00 90.00 90.00°
Positions (direct):
Ca (0.0000, 0.0000, 0.0000)
Cr (0.5000, 0.5000, 0.5000)
Pb (0.0000, 0.0000, 0.5000)
Pb (0.0000, 0.5000, 0.0000)
Pb (0.5000, 0.0000, 0.0000)

---

(2)
Material: CaCr2Pb
Method: DFT, PBE
State: relaxed

Output
* formation energy: 1.390 eV per atom
* space-group type: I-42d, No. 122
* total magnetic moment: 0.2 μB/cell

Cell: 6.1751 6.1751 6.1751 Å, 102.28 102.28 125.08°
Positions (direct):
Ca (0.0000, 0.0000, 0.0000)
Ca (0.7500, 0.2500, 0.5000)
Cr (0.1546, 0.6250, 0.0296)
Cr (0.3750, 0.4046, 0.5296)
Cr (0.5954, 0.1250, 0.9704)
Cr (0.8750, 0.8454, 0.4704)
Pb (0.2500, 0.7500, 0.5000)
Pb (0.5000, 0.5000, 0.0000)

---

(3)
Material: CaCrPb2
Method: DFT, PBE
State: relaxed

Output
* formation energy: 0.062 eV per atom
* space-group type: P4/mmm, No. 123
* total magnetic moment: 3.9 μB/cell

Cell: 3.5930 3.5930 8.0327 Å, 90.00 90.00 90.00°
Positions (direct):
Ca (0.0000, 0.0000, 0.0000)
Cr (0.0000, 0.0000, 0.5000)
Pb (0.5000, 0.5000, 0.2826)
Pb (0.5000, 0.5000, 0.7174)